DFT (PBE) results for Ca3Sn3Ir2 after structural relaxation.

Summary:
calculated total energy	-5.05	eV per atom
SG	Pnma
Fermi-level density of states	17.302	states/eV/cell
DFT formation energy	-581	meV/atom

Lattice parameters (Å, degrees): 5.980 8.373 15.859 90.00 90.00 90.00
Element x y z (fractional)
1 Sn 0.392 0.678 0.960
2 Ir 0.112 0.888 0.894
3 Ca 0.367 0.687 0.750
4 Ca 0.606 0.039 0.890
5 Ca 0.106 0.461 0.390
6 Sn 0.392 0.678 0.540
7 Sn 0.892 0.822 0.460
8 Sn 0.119 0.155 0.250
9 Ca 0.106 0.461 0.110
10 Ca 0.394 0.961 0.390
11 Ir 0.112 0.888 0.606
12 Sn 0.608 0.322 0.040
13 Ca 0.394 0.961 0.110
14 Sn 0.108 0.178 0.960
15 Ir 0.888 0.112 0.106
16 Ir 0.888 0.112 0.394
17 Ir 0.612 0.612 0.106
18 Sn 0.892 0.822 0.040
19 Sn 0.108 0.178 0.540
20 Sn 0.381 0.655 0.250
21 Ca 0.894 0.539 0.610
22 Ca 0.633 0.313 0.250
23 Ca 0.894 0.539 0.890
24 Sn 0.619 0.345 0.750
25 Sn 0.608 0.322 0.460
26 Ca 0.606 0.039 0.610
27 Ca 0.867 0.813 0.250
28 Ca 0.133 0.187 0.750
29 Sn 0.881 0.845 0.750
30 Ir 0.388 0.388 0.606
31 Ir 0.612 0.612 0.394
32 Ir 0.388 0.388 0.894



DFT (PBE) results for Tb7Pr3Ho after structural relaxation.

Summary:
calculated total energy	-4.53	eV per atom
SG	P2/m
Fermi-level density of states	15.589	states/eV/cell
energy above the lowest structure with this stoichiometry	0	meV/atom
DFT formation energy	139	meV/atom

Lattice parameters (Å, degrees): 5.572 10.208 8.944 106.49 128.49 90.00
Element x y z (fractional)
1 Tb 0.096 0.171 0.097
2 Tb 0.500 0.000 0.500
3 Pr 0.283 0.004 0.784
4 Ho 0.500 0.500 0.500
5 Tb 0.686 0.365 0.187
6 Pr 0.717 0.996 0.216
7 Tb 0.904 0.829 0.903
8 Tb 0.141 0.289 0.640
9 Tb 0.859 0.711 0.360
10 Pr 0.000 0.500 0.000
11 Tb 0.314 0.635 0.813



DFT (PBE) results for Te2AsPb after structural relaxation.

Summary:
calculated total energy	-3.60	eV per atom
SG	P4mm
Fermi-level density of states	2.401	states/eV/cell
energy above the lowest structure with this stoichiometry	137	meV/atom
formation energy (no corrections)	0.064	eV per atom

Lattice parameters (Å, degrees): 3.812 3.812 8.917 90.00 90.00 90.00
Element x y z (fractional)
1 Pb 0.500 0.500 0.764
2 Te 0.500 0.500 0.336
3 As 0.000 0.000 0.450
4 Te 0.000 0.000 0.950



DFT (PBE) results for Tm4CdRu2 after structural relaxation.

Summary:
calculated total energy	-5.59	eV per atom
SG	I-42d
Fermi-level density of states	7.606	states/eV/cell
DFT formation energy	-257	meV/atom

Lattice parameters (Å, degrees): 7.503 7.503 7.503 109.02 110.38 109.02
Element x y z (fractional)
1 Tm 0.601 0.755 0.500
2 Ru 0.521 0.396 0.625
3 Ru 0.375 0.896 0.771
4 Ru 0.229 0.604 0.125
5 Cd 0.000 0.000 0.000
6 Tm 0.500 0.101 0.255
7 Tm 0.149 0.399 0.404
8 Tm 0.745 0.245 0.846
9 Tm 0.596 0.745 0.995
10 Ru 0.875 0.104 0.479
11 Tm 0.005 0.601 0.750
12 Tm 0.154 0.899 0.399
13 Tm 0.250 0.255 0.851
14 Cd 0.750 0.500 0.250



DFT (PBE) results for Li2Ac3Te4Se2 after structural relaxation.

Summary:
calculated total energy	-4.56	eV per atom
SG	I4/mmm
Fermi-level density of states	1.163	states/eV/cell
formation energy (no corrections)	-1.314	eV per atom

Lattice parameters (Å, degrees): 5.218 5.218 13.361 101.26 101.26 90.00
Element x y z (fractional)
1 Li 0.386 0.386 0.773
2 Ac 0.824 0.824 0.649
3 Se 0.292 0.292 0.583
4 Ac 0.000 0.000 0.000
5 Li 0.614 0.614 0.227
6 Ac 0.176 0.176 0.351
7 Te 0.416 0.916 0.832
8 Se 0.708 0.708 0.417
9 Te 0.584 0.084 0.168
10 Te 0.084 0.584 0.168
11 Te 0.916 0.416 0.832



DFT (PBE) results for CaIr2Br after structural relaxation.

Summary:
calculated total energy	-4.81	eV per atom
SG	Cmmm
Fermi-level density of states	4.746	states/eV/cell
energy above the lowest structure with this stoichiometry	789	meV/atom
formation energy (no corrections)	0.535	eV per atom

Lattice parameters (Å, degrees): 5.507 5.507 3.025 90.00 90.00 122.56
Element x y z (fractional)
1 Ir 0.500 0.500 0.000
2 Br 0.500 0.000 0.500
3 Ir 0.000 0.000 0.000
4 Ca 0.000 0.500 0.500



DFT (PBE) results for La2Tb3ScTe6 after structural relaxation.

Summary:
calculated total energy	-5.43	eV per atom
SG	C2/m
Fermi-level density of states	7.540	states/eV/cell
formation energy (no corrections)	-1.357	eV per atom

Lattice parameters (Å, degrees): 4.393 8.875 9.859 102.84 102.87 90.00
Element x y z (fractional)
1 Te 0.663 0.593 0.326
2 Te 0.993 0.237 0.987
3 Sc 0.500 0.000 0.000
4 Tb 0.825 0.162 0.650
5 Te 0.659 0.069 0.318
6 Te 0.007 0.763 0.013
7 Tb 0.500 0.500 0.000
8 Te 0.341 0.931 0.682
9 Te 0.337 0.407 0.674
10 La 0.833 0.666 0.667
11 La 0.167 0.334 0.333
12 Tb 0.175 0.838 0.350



DFT (PBE) results for BeNiTe after structural relaxation.

Summary:
calculated total energy	-3.98	eV per atom
SG	I4mm
Fermi-level density of states	0.951	states/eV/cell
formation energy (no corrections)	0.237	eV per atom

Lattice parameters (Å, degrees): 4.351 4.351 4.351 130.78 130.78 72.17
Element x y z (fractional)
1 Be 0.990 0.990 0.000
2 Ni 0.684 0.684 0.000
3 Te 0.327 0.327 0.000



DFT (PBE) results for RbNa3Hg2 after structural relaxation.

Summary:
calculated total energy	-1.09	eV per atom
SG	C2/m
Fermi-level density of states	4.022	states/eV/cell
DFT formation energy	-167	meV/atom

Lattice parameters (Å, degrees): 5.127 9.837 10.027 114.97 90.00 105.10
Element x y z (fractional)
1 Na 0.042 0.084 0.368
2 Rb 0.152 0.304 0.066
3 Rb 0.848 0.696 0.934
4 Na 0.407 0.815 0.314
5 Na 0.315 0.629 0.545
6 Hg 0.191 0.382 0.687
7 Na 0.593 0.185 0.686
8 Na 0.958 0.916 0.632
9 Hg 0.477 0.954 0.838
10 Na 0.685 0.371 0.455
11 Hg 0.523 0.046 0.162
12 Hg 0.809 0.618 0.313



DFT (PBE) results for MnV4Os3 after structural relaxation.

Summary:
calculated total energy	-10.17	eV per atom
SG	P4/mmm
Fermi-level density of states	6.627	states/eV/cell
DFT formation energy	-258	meV/atom

Lattice parameters (Å, degrees): 2.979 2.979 12.016 90.00 90.00 90.00
Element x y z (fractional)
1 Os 0.500 0.500 0.500
2 V 0.000 0.000 0.372
3 Os 0.500 0.500 0.243
4 Mn 0.500 0.500 0.000
5 V 0.000 0.000 0.114
6 Os 0.500 0.500 0.757
7 V 0.000 0.000 0.628
8 V 0.000 0.000 0.886



DFT (PBE) results for TiNbVOs after structural relaxation.

Summary:
calculated total energy	-9.89	eV per atom
SG	F-43m
Fermi-level density of states	4.382	states/eV/cell
energy above the lowest structure with this stoichiometry	0	meV/atom
DFT formation energy	-313	meV/atom

Lattice parameters (Å, degrees): 4.436 4.436 4.436 60.00 60.00 60.00
Element x y z (fractional)
1 V 0.000 0.000 0.000
2 Ti 0.250 0.250 0.250
3 Nb 0.750 0.750 0.750
4 Os 0.500 0.500 0.500



DFT (PBE) results for UGa2Pt9 after structural relaxation.

Summary:
calculated total energy	-6.54	eV per atom
SG	P4/mmm
Fermi-level density of states	10.072	states/eV/cell
DFT formation energy	-561	meV/atom

Lattice parameters (Å, degrees): 4.034 4.034 11.978 90.00 90.00 90.00
Last column: magnetic moment on the atom in μB.
Element x y z (fractional)
1 Ga 0.000 0.000 0.347  0.00
2 Pt 0.000 0.500 0.828  -0.04
3 Pt 0.500 0.500 0.337  -0.03
4 Pt 0.500 0.000 0.500  -0.02
5 Pt 0.000 0.500 0.500  -0.02
6 Pt 0.000 0.500 0.172  -0.04
7 Pt 0.500 0.000 0.828  -0.04
8 U 0.000 0.000 0.000  0.90
9 Pt 0.500 0.000 0.172  -0.04
10 Ga 0.000 0.000 0.653  0.00
11 Pt 0.500 0.500 0.000  -0.04
12 Pt 0.500 0.500 0.663  -0.03



DFT (PBE) results for RbMgN after structural relaxation.

Summary:
calculated total energy	-3.84	eV per atom
SG	P4/nmm
Fermi-level density of states	4.922	states/eV/cell
formation energy (no corrections)	-0.208	eV per atom

Lattice parameters (Å, degrees): 3.856 3.856 10.704 90.00 90.00 90.00
Last column: magnetic moment on the atom in μB.
Element x y z (fractional)
1 N 0.000 0.500 0.910  0.08
2 Rb 0.000 0.500 0.256  0.00
3 Rb 0.500 0.000 0.744  0.00
4 Mg 0.000 0.000 0.000  0.00
5 N 0.500 0.000 0.090  0.08
6 Mg 0.500 0.500 0.000  0.00



DFT (PBE) results for Ac3BN4 after structural relaxation.

Summary:
calculated total energy	-7.19	eV per atom
SG	Pmn2_1
Fermi-level density of states	1.367	states/eV/cell
formation energy (no corrections)	-0.655	eV per atom

Lattice parameters (Å, degrees): 5.600 6.817 7.504 90.00 90.00 90.00
Element x y z (fractional)
1 B 0.498 0.834 0.500
2 Ac 0.516 0.345 0.736
3 N 0.515 0.082 0.500
4 N 0.118 0.253 0.183
5 N 0.118 0.253 0.817
6 B 0.998 0.166 0.000
7 Ac 0.016 0.655 0.236
8 N 0.618 0.747 0.317
9 N 0.218 0.768 0.500
10 N 0.015 0.918 0.000
11 N 0.718 0.232 0.000
12 Ac 0.018 0.084 0.500
13 N 0.618 0.747 0.683
14 Ac 0.016 0.655 0.764
15 Ac 0.516 0.345 0.264
16 Ac 0.518 0.916 0.000



DFT (PBE) results for Pr3Sm8Y2 after structural relaxation.

Summary:
calculated total energy	-4.78	eV per atom
SG	C2/m
Fermi-level density of states	21.046	states/eV/cell
energy above the lowest structure with this stoichiometry	46	meV/atom
DFT formation energy	225	meV/atom

Lattice parameters (Å, degrees): 5.788 7.766 10.956 110.76 90.03 90.00
Element x y z (fractional)
1 Sm 0.500 0.600 0.784
2 Y 0.499 0.242 0.483
3 Sm 0.500 0.400 0.216
4 Sm 0.500 0.817 0.216
5 Pr 0.000 0.290 0.000
6 Sm 0.999 0.327 0.655
7 Pr 0.500 0.000 0.000
8 Pr 0.000 0.710 0.000
9 Y 0.501 0.758 0.517
10 Sm 0.001 0.864 0.729
11 Sm 0.500 0.183 0.784
12 Sm 0.999 0.136 0.271
13 Sm 0.001 0.673 0.345



DFT (PBE) results for InPtCl2 after structural relaxation.

Summary:
calculated total energy	-2.89	eV per atom
SG	Cmmm
Fermi-level density of states	4.465	states/eV/cell
energy above the lowest structure with this stoichiometry	666	meV/atom
formation energy (no corrections)	0.229	eV per atom

Lattice parameters (Å, degrees): 5.049 5.049 3.345 90.00 90.00 90.15
Last column: magnetic moment on the atom in μB.
Element x y z (fractional)
1 In 0.500 0.000 0.500  0.01
2 Cl 0.500 0.500 0.000  0.07
3 Cl 0.000 0.000 0.000  0.07
4 Pt 0.000 0.500 0.500  0.56



DFT (PBE) results for Y5Ho2Tm after structural relaxation.

Summary:
calculated total energy	-5.61	eV per atom
SG	Cmcm
Fermi-level density of states	29.668	states/eV/cell
energy above the lowest structure with this stoichiometry	0	meV/atom
DFT formation energy	137	meV/atom

Lattice parameters (Å, degrees): 5.508 6.566 15.786 90.00 90.00 114.80
Element x y z (fractional)
1 Tm 0.268 0.535 0.250
2 Tm 0.732 0.465 0.750
3 Y 0.620 0.239 0.952
4 Y 0.078 0.156 0.405
5 Ho 0.780 0.559 0.132
6 Y 0.380 0.761 0.048
7 Y 0.620 0.239 0.548
8 Y 0.922 0.844 0.905
9 Y 0.542 0.083 0.250
10 Y 0.078 0.156 0.095
11 Y 0.380 0.761 0.452
12 Ho 0.220 0.441 0.632
13 Ho 0.780 0.559 0.368
14 Y 0.922 0.844 0.595
15 Y 0.458 0.917 0.750
16 Ho 0.220 0.441 0.868



DFT (PBE) results for ZrNi2P after structural relaxation.

Summary:
calculated total energy	-6.98	eV per atom
SG	Amm2
Fermi-level density of states	4.492	states/eV/cell
DFT formation energy	-596	meV/atom

Lattice parameters (Å, degrees): 4.724 4.724 3.652 90.00 90.00 134.97
Element x y z (fractional)
1 Ni 0.975 0.025 0.000
2 P 0.695 0.305 0.000
3 Ni 0.555 0.445 0.500
4 Zr 0.274 0.726 0.500



DFT (PBE) results for CuIrAu4 after structural relaxation.

Summary:
calculated total energy	-3.71	eV per atom
SG	F-43m
Fermi-level density of states	2.906	states/eV/cell
DFT formation energy	635	meV/atom

Lattice parameters (Å, degrees): 5.379 5.379 5.379 60.00 60.00 60.00
Element x y z (fractional)
1 Au 0.625 0.625 0.625
2 Au 0.625 0.125 0.625
3 Au 0.125 0.625 0.625
4 Cu 0.250 0.250 0.250
5 Au 0.625 0.625 0.125
6 Ir 0.000 0.000 0.000



DFT (PBE) results for Pm2PuPbO8 after structural relaxation.

Summary:
calculated total energy	-8.06	eV per atom
SG	P2/m
Fermi-level density of states	2.529	states/eV/cell
formation energy (no corrections)	-2.459	eV per atom

Lattice parameters (Å, degrees): 5.146 5.164 7.308 90.01 90.00 92.17
Last column: magnetic moment on the atom in μB.
Element x y z (fractional)
1 O 0.181 0.817 0.790  -0.07
2 O 0.819 0.183 0.790  -0.07
3 O 0.716 0.719 0.000  -0.06
4 O 0.284 0.281 0.000  -0.06
5 O 0.307 0.306 0.500  0.08
6 Pb 0.000 0.000 0.500  0.06
7 Pm 0.500 0.500 0.751  0.00
8 O 0.819 0.183 0.210  -0.07
9 Pu 0.000 0.000 0.000  1.64
10 Pm 0.500 0.500 0.249  0.00
11 O 0.693 0.694 0.500  0.08
12 O 0.181 0.817 0.210  -0.07



DFT (PBE) results for ZnInCl3 after structural relaxation.

Summary:
calculated total energy	-2.45	eV per atom
SG	P4mm
Fermi-level density of states	3.791	states/eV/cell
energy above the lowest structure with this stoichiometry	484	meV/atom
formation energy (no corrections)	-0.541	eV per atom

Lattice parameters (Å, degrees): 4.906 4.906 6.543 90.00 90.00 90.00
Element x y z (fractional)
1 In 0.000 0.000 0.161
2 Zn 0.500 0.500 0.735
3 Cl 0.000 0.500 0.286
4 Cl 0.000 0.000 0.795
5 Cl 0.500 0.000 0.286



DFT (PBE) results for SrScGa after structural relaxation.

Summary:
calculated total energy	-3.97	eV per atom
SG	C2/m
Fermi-level density of states	3.507	states/eV/cell
energy above the lowest structure with this stoichiometry	93	meV/atom
DFT formation energy	-293	meV/atom

Lattice parameters (Å, degrees): 4.714 10.272 4.716 90.00 59.97 76.87
Element x y z (fractional)
1 Ga 0.130 0.674 0.244
2 Sc 0.930 0.470 0.843
3 Ga 0.307 0.404 0.155
4 Sc 0.506 0.608 0.556
5 Sr 0.765 0.215 0.426
6 Sr 0.671 0.863 0.973



DFT (PBE) results for CsPrTl after structural relaxation.

Summary:
calculated total energy	-2.78	eV per atom
SG	C2/m
Fermi-level density of states	6.038	states/eV/cell
DFT formation energy	-109	meV/atom

Lattice parameters (Å, degrees): 4.231 4.231 16.658 104.80 104.80 90.05
Last column: magnetic moment on the atom in μB.
Element x y z (fractional)
1 Tl 0.921 0.921 0.169  -0.01
2 Pr 0.674 0.674 0.925  0.14
3 Pr 0.326 0.326 0.075  0.14
4 Cs 0.407 0.407 0.657  0.00
5 Cs 0.593 0.593 0.343  0.00
6 Tl 0.079 0.079 0.831  -0.01